A plane-wave DFT calculation with PBE with a Hubbard U was carried out for ZrCrIrF2 after structural relaxation.

Structure (CIF):
```
data_ZrCrIrF2
_chemical_formula_sum 'Zr1 Cr1 Ir1 F2'
_symmetry_space_group_name_H-M 'P 4/m m m'
_symmetry_Int_Tables_number 123
_symmetry_space_group_name_Hall '-P 4 2'
_cell_length_a 4.0165
_cell_length_b 4.0165
_cell_length_c 6.0150
_cell_angle_alpha 90.00
_cell_angle_beta 90.00
_cell_angle_gamma 90.00
loop_
_atom_site_label
_atom_site_fract_x
_atom_site_fract_y
_atom_site_fract_z
Zr1 0.0000 0.0000 0.0000
Cr1 0.0000 0.0000 0.5000
Ir1 0.5000 0.5000 0.5000
F1 0.0000 0.5000 0.0000
```

## Properties
Theoretical density ... 6.391 g/cm³
Uncorrected energy ... -6.524 eV/atom
Crystal system ... tetragonal
Density of states at the Fermi level ... 0.848 states/eV per atom